1.
ZrTlZn2Cl8: relaxed, PBE.

Cell lengths 10.4148, 10.4148, 10.4148 Å; angles 35.57, 35.57, 35.57 degrees
Closest atoms and distances in Å follow each position.
Element x y z (fractional)
Zr1 0.0000 0.0000 0.0000  6 Cl 2.56
Tl1 0.5000 0.5000 0.5000  12 Cl 3.69-3.97
Zn1 0.2544 0.2544 0.2544  4 Cl 2.22-2.34
Zn2 0.7456 0.7456 0.7456  4 Cl 2.22-2.34
Cl1 0.0614 0.7212 0.3719  1 Zn 2.34, 1 Zr 2.56
Cl2 0.1786 0.1786 0.1786  1 Zn 2.22
Cl3 0.2788 0.6281 0.9386  1 Zn 2.34, 1 Zr 2.56
Cl4 0.3719 0.0614 0.7212  1 Zn 2.34, 1 Zr 2.56
Cl5 0.6281 0.9386 0.2788  1 Zn 2.34, 1 Zr 2.56
Cl6 0.7212 0.3719 0.0614  1 Zn 2.34, 1 Zr 2.56
Cl7 0.8214 0.8214 0.8214  1 Zn 2.22
Cl8 0.9386 0.2788 0.6281  1 Zn 2.34, 1 Zr 2.56

Computed properties:
E_form (uncorrected), meV per atom: -1249
Symmetry: R-3, No. 148


2.
ZrTlZn2Cl: relaxed, PBE.

Cell lengths 5.0810, 5.0810, 5.6054 Å; angles 90.00, 90.00, 90.00 degrees
Closest atoms and distances in Å follow each position.
Element x y z (fractional)
Zr1 0.0000 0.0000 0.0000  4 Cl 3.59, 8 Zn 3.78
Tl1 0.5000 0.5000 0.5000  4 Zn 2.54, 2 Cl 2.80
Zn1 0.0000 0.5000 0.5000  2 Tl 2.54
Zn2 0.5000 0.0000 0.5000  2 Tl 2.54
Cl1 0.5000 0.5000 0.0000  2 Tl 2.80

Computed properties:
E_form (uncorrected), meV per atom: 760
Symmetry: P4/mmm, No. 123


3.
ZrTl3Cl6: relaxed, PBE.

Cell lengths 9.0658, 8.2942, 7.1287 Å; angles 71.55, 60.21, 48.24 degrees
Closest atoms and distances in Å follow each position.
Element x y z (fractional)
Zr1 0.0000 0.0000 0.0000  6 Cl 2.49-2.53
Tl1 0.2500 0.2500 0.2500  4 Cl 3.34
Tl2 0.5000 0.5000 0.5000  6 Cl 3.15-3.18
Tl3 0.7500 0.7500 0.7500  4 Cl 3.34
Cl1 0.0737 0.6689 0.9263  1 Zr 2.53
Cl2 0.2195 0.7805 0.2195  1 Zr 2.49
Cl3 0.3311 0.9263 0.6689  1 Zr 2.53
Cl4 0.6689 0.0737 0.3311  1 Zr 2.53
Cl5 0.7805 0.2195 0.7805  1 Zr 2.49
Cl6 0.9263 0.3311 0.0737  1 Zr 2.53

Computed properties:
E_form (uncorrected), meV per atom: -1253
Symmetry: Fmmm, No. 69
Energy above the most stable polymorph in this dataset, kJ/mol of atoms: 2.9


4.
Zr3Tl2Cl10: relaxed, PBE.

Cell lengths 12.7075, 12.7075, 10.3000 Å; angles 110.83, 110.83, 33.18 degrees
Closest atoms and distances in Å follow each position.
Element x y z (fractional)
Zr1 0.0662 0.0662 0.4883  6 Cl 2.57-2.66
Zr2 0.1806 0.1806 0.0230  6 Cl 2.52-2.59
Zr3 0.2190 0.7810 0.0000  6 Cl 2.58-2.65
Zr4 0.7810 0.2190 0.0000  6 Cl 2.58-2.65
Zr5 0.8194 0.8194 0.9770  6 Cl 2.52-2.59
Zr6 0.9338 0.9338 0.5117  6 Cl 2.57-2.66
Tl1 0.2587 0.2587 0.6227  5 Cl 3.20-3.51
Tl2 0.3690 0.3690 0.2959  3 Cl 3.09-3.21
Tl3 0.6310 0.6310 0.7041  3 Cl 3.09-3.21
Tl4 0.7413 0.7413 0.3773  5 Cl 3.20-3.51
Cl1 0.0000 0.5000 0.0000  2 Zr 2.55
Cl2 0.0192 0.0192 0.2101  3 Zr 2.58-2.66
Cl3 0.0989 0.6179 0.5239  1 Zr 2.57
Cl4 0.1222 0.1222 0.7550  2 Zr 2.57-2.59
Cl5 0.1400 0.6372 0.9523  2 Zr 2.56-2.58
Cl6 0.2354 0.2354 0.2845  1 Zr 2.52
Cl7 0.2698 0.7302 0.5000  2 Zr 2.57
Cl8 0.3628 0.8600 0.0477  2 Zr 2.56-2.58
Cl9 0.3821 0.9011 0.4761  1 Zr 2.57
Cl10 0.4851 0.4851 0.8263  2 Zr 2.65
Cl11 0.5000 0.0000 0.0000  2 Zr 2.55
Cl12 0.5149 0.5149 0.1737  2 Zr 2.65
Cl13 0.6179 0.0989 0.5239  1 Zr 2.57
Cl14 0.6372 0.1400 0.9523  2 Zr 2.56-2.58
Cl15 0.7302 0.2698 0.5000  2 Zr 2.57
Cl16 0.7646 0.7646 0.7155  1 Zr 2.52
Cl17 0.8600 0.3628 0.0477  2 Zr 2.56-2.58
Cl18 0.8778 0.8778 0.2450  2 Zr 2.57-2.59
Cl19 0.9011 0.3821 0.4761  1 Zr 2.57
Cl20 0.9808 0.9808 0.7899  3 Zr 2.58-2.66

Computed properties:
E_form (uncorrected), meV per atom: -1424
Symmetry: C2/m, No. 12


5.
ZrTlCl4: relaxed, PBE.

Cell lengths 5.9062, 5.9062, 5.9062 Å; angles 60.00, 60.00, 60.00 degrees
Closest atoms and distances in Å follow each position.
Element x y z (fractional)
Zr1 0.0000 0.0000 0.0000  12 Cl 3.46, 4 Tl 3.62
Tl1 0.2500 0.2500 0.2500  12 Cl 3.47, 4 Zr 3.62
Cl1 0.1221 0.6260 0.6260  6 Cl 2.93-2.98
Cl2 0.6260 0.1221 0.6260  6 Cl 2.93-2.98
Cl3 0.6260 0.6260 0.1221  6 Cl 2.93-2.98
Cl4 0.6260 0.6260 0.6260  6 Cl 2.93-2.98

Computed properties:
E_form (uncorrected), meV per atom: 153
Symmetry: F-43m, No. 216
Energy above the most stable polymorph in this dataset, kJ/mol of atoms: 146.3


6.
Zr2TlCl: relaxed, PBE.

Cell lengths 7.2457, 7.2457, 7.2457 Å; angles 90.00, 90.00, 90.00 degrees
Closest atoms and distances in Å follow each position.
Element x y z (fractional)
Zr1 0.0000 0.0000 0.0000  4 Cl 3.14, 4 Zr 3.14
Zr2 0.0000 0.5000 0.5000  4 Cl 3.14, 4 Zr 3.14
Zr3 0.2500 0.2500 0.2500  4 Zr 3.14, 4 Tl 3.14
Zr4 0.2500 0.7500 0.7500  4 Zr 3.14, 4 Tl 3.14
Zr5 0.5000 0.0000 0.5000  4 Cl 3.14, 4 Zr 3.14
Zr6 0.5000 0.5000 0.0000  4 Cl 3.14, 4 Zr 3.14
Zr7 0.7500 0.2500 0.7500  4 Zr 3.14, 4 Tl 3.14
Zr8 0.7500 0.7500 0.2500  4 Zr 3.14, 4 Tl 3.14
Tl1 0.0000 0.0000 0.5000  4 Zr 3.14, 4 Cl 3.14
Tl2 0.0000 0.5000 0.0000  4 Zr 3.14, 4 Cl 3.14
Tl3 0.5000 0.0000 0.0000  4 Zr 3.14, 4 Cl 3.14
Tl4 0.5000 0.5000 0.5000  4 Zr 3.14, 4 Cl 3.14
Cl1 0.2500 0.2500 0.7500  4 Zr 3.14, 4 Tl 3.14
Cl2 0.2500 0.7500 0.2500  4 Zr 3.14, 4 Tl 3.14
Cl3 0.7500 0.2500 0.2500  4 Zr 3.14, 4 Tl 3.14
Cl4 0.7500 0.7500 0.7500  4 Zr 3.14, 4 Tl 3.14

Computed properties:
E_form (uncorrected), meV per atom: 380
Symmetry: F-43m, No. 216
Energy above the most stable polymorph in this dataset, kJ/mol of atoms: 89.3


7.
Zr2TlCl: relaxed, PBE.

Cell lengths 3.2078, 5.7389, 9.7342 Å; angles 90.00, 90.00, 90.00 degrees
Closest atoms and distances in Å follow each position.
Element x y z (fractional)
Zr1 0.0000 0.0000 0.2307  2 Cl 2.76, 2 Tl 3.07
Zr2 0.0000 0.0000 0.7693  2 Cl 2.76, 2 Tl 3.07
Zr3 0.5000 0.5000 0.2307  2 Cl 2.76, 2 Tl 3.07
Zr4 0.5000 0.5000 0.7693  2 Cl 2.76, 2 Tl 3.07
Tl1 0.0000 0.5000 0.5000  4 Zr 3.07, 6 Tl 3.21-3.29
Tl2 0.5000 0.0000 0.5000  4 Zr 3.07, 6 Tl 3.21-3.29
Cl1 0.0000 0.5000 0.0000  4 Zr 2.76
Cl2 0.5000 0.0000 0.0000  4 Zr 2.76

Computed properties:
E_form (uncorrected), meV per atom: -306
Symmetry: Cmmm, No. 65
Energy above the most stable polymorph in this dataset, kJ/mol of atoms: 23.1


8.
Zr2TlCl: relaxed, PBE.

Cell lengths 7.0073, 7.0073, 7.0073 Å; angles 90.00, 90.00, 90.00 degrees
Closest atoms and distances in Å follow each position.
Element x y z (fractional)
Zr1 0.2500 0.2500 0.2500  4 Cl 3.03, 4 Tl 3.03
Zr2 0.2500 0.2500 0.7500  4 Tl 3.03, 4 Cl 3.03
Zr3 0.2500 0.7500 0.2500  4 Tl 3.03, 4 Cl 3.03
Zr4 0.2500 0.7500 0.7500  4 Tl 3.03, 4 Cl 3.03
Zr5 0.7500 0.2500 0.2500  4 Tl 3.03, 4 Cl 3.03
Zr6 0.7500 0.2500 0.7500  4 Tl 3.03, 4 Cl 3.03
Zr7 0.7500 0.7500 0.2500  4 Tl 3.03, 4 Cl 3.03
Zr8 0.7500 0.7500 0.7500  4 Tl 3.03, 4 Cl 3.03
Tl1 0.0000 0.0000 0.0000  8 Zr 3.03
Tl2 0.0000 0.5000 0.5000  8 Zr 3.03
Tl3 0.5000 0.0000 0.5000  8 Zr 3.03
Tl4 0.5000 0.5000 0.0000  8 Zr 3.03
Cl1 0.0000 0.0000 0.5000  8 Zr 3.03
Cl2 0.0000 0.5000 0.0000  8 Zr 3.03
Cl3 0.5000 0.0000 0.0000  8 Zr 3.03
Cl4 0.5000 0.5000 0.5000  8 Zr 3.03

Computed properties:
E_form (uncorrected), meV per atom: -120
Symmetry: Fm-3m, No. 225
Energy above the most stable polymorph in this dataset, kJ/mol of atoms: 41.0


9.
Zr2TlCl: relaxed, PBE.

Cell lengths 3.2668, 3.9166, 6.8928 Å; angles 90.00, 92.63, 90.00 degrees
Closest atoms and distances in Å follow each position.
Element x y z (fractional)
Zr1 0.0264 0.0000 0.2580  2 Cl 2.58
Zr2 0.9736 0.0000 0.7420  2 Cl 2.58
Tl1 0.5000 0.5000 0.0000  8 Zr 3.11, 2 Tl 3.27
Cl1 0.0000 0.5000 0.5000  4 Zr 2.58

Computed properties:
E_form (uncorrected), meV per atom: -331
Symmetry: P2/m, No. 10
Energy above the most stable polymorph in this dataset, kJ/mol of atoms: 20.7


10.
ZrTl4Cl: relaxed, PBE.

Cell lengths 6.1696, 6.1696, 6.1696 Å; angles 60.00, 60.00, 60.00 degrees
Closest atoms and distances in Å follow each position.
Element x y z (fractional)
Zr1 0.0000 0.0000 0.0000  12 Tl 3.62, 4 Cl 3.78
Tl1 0.3749 0.3749 0.3749  6 Tl 3.08-3.09
Tl2 0.3749 0.3749 0.8754  6 Tl 3.08-3.09
Tl3 0.3749 0.8754 0.3749  6 Tl 3.08-3.09
Tl4 0.8754 0.3749 0.3749  6 Tl 3.08-3.09
Cl1 0.7500 0.7500 0.7500  12 Tl 3.62, 4 Zr 3.78

Computed properties:
E_form (uncorrected), meV per atom: 271
Symmetry: F-43m, No. 216


11.
Zr2TlCl: relaxed, PBE.

Cell lengths 3.1620, 5.8324, 9.7255 Å; angles 90.00, 90.00, 90.00 degrees
Closest atoms and distances in Å follow each position.
Element x y z (fractional)
Zr1 0.0000 0.0000 0.2228  2 Cl 2.68
Zr2 0.0000 0.0000 0.7772  2 Cl 2.68
Zr3 0.5000 0.5000 0.2772  2 Cl 2.68
Zr4 0.5000 0.5000 0.7228  2 Cl 2.68
Tl1 0.0000 0.5000 0.0000  4 Zr 3.13, 2 Tl 3.16, 4 Cl 3.32
Tl2 0.5000 0.0000 0.5000  4 Zr 3.13, 2 Tl 3.16, 4 Cl 3.32
Cl1 0.0000 0.5000 0.5000  4 Zr 2.68
Cl2 0.5000 0.0000 0.0000  4 Zr 2.68

Computed properties:
E_form (uncorrected), meV per atom: -280
Symmetry: Immm, No. 71
Energy above the most stable polymorph in this dataset, kJ/mol of atoms: 25.6


12.
Zr2TlCl: relaxed, PBE.

Cell lengths 3.3785, 3.3785, 32.5512 Å; angles 90.00, 90.00, 120.00 degrees
Closest atoms and distances in Å follow each position.
Element x y z (fractional)
Zr1 0.0000 0.0000 0.0000  9 Zr 3.08-3.38, 3 Tl 3.27
Zr2 0.0000 0.0000 0.2600  3 Cl 2.64
Zr3 0.3333 0.6667 0.6667  9 Zr 3.08-3.38, 3 Tl 3.27
Zr4 0.3333 0.6667 0.9267  3 Cl 2.64
Zr5 0.6667 0.3333 0.3333  9 Zr 3.08-3.38, 3 Tl 3.27
Zr6 0.6667 0.3333 0.5933  3 Cl 2.64
Tl1 0.0000 0.0000 0.7473  3 Zr 3.27, 6 Tl 3.38
Tl2 0.3333 0.6667 0.4140  3 Zr 3.27, 6 Tl 3.38
Tl3 0.6667 0.3333 0.0806  3 Zr 3.27, 6 Tl 3.38
Cl1 0.0000 0.0000 0.5385  3 Zr 2.64
Cl2 0.3333 0.6667 0.2051  3 Zr 2.64
Cl3 0.6667 0.3333 0.8718  3 Zr 2.64

Computed properties:
E_form (uncorrected), meV per atom: -545
Symmetry: R3m, No. 160
Energy above the most stable polymorph in this dataset, kJ/mol of atoms: 0.0